No. 1
Here is a relaxed NbGaTc crystal from Alexandria. Energies are from GGA-PBE.

## Properties
Energy = -8.0916 eV/atom
Space-group type = No. 107
Magnetic moment = 0.000 μB per atom
Theoretical density = 9.08 g/cm3

Unit cell a=3.2734 b=3.2734 c=5.0150 alpha=109.05 beta=109.05 gamma=90.00
Fractional positions:
Nb: 0.9435 0.9435 0.8870
Tc: 0.2837 0.2837 0.5674
Ga: 0.6228 0.6228 0.2455

=====

No. 2
Here is a relaxed NbGa2Tc crystal from Alexandria. Energies are from GGA-PBE.

## Properties
Energy = -6.4304 eV/atom
Space-group type = No. 122
Magnetic moment = 0.131 μB per atom
Theoretical density = 8.09 g/cm3

Unit cell a=7.0346 b=7.0346 c=5.6784 alpha=51.73 beta=51.73 gamma=90.00
Fractional positions:
Nb: 0.5000 0.5000 0.0000
Nb: 0.2500 0.7500 0.5000
Tc: 0.0000 0.0000 0.0000
Tc: 0.7500 0.2500 0.5000
Ga: 0.6389 0.1250 0.2500
Ga: 0.1111 0.6250 0.2500
Ga: 0.3750 0.3611 0.7500
Ga: 0.8750 0.8889 0.7500

=====

No. 3
Here is a relaxed Nb8Ga2Tc crystal from Alexandria. Energies are from GGA-PBE.

## Properties
Energy = -8.8868 eV/atom
Space-group type = No. 12
Magnetic moment = 0.000 μB per atom
Theoretical density = 8.31 g/cm3

Unit cell a=4.5755 b=6.3405 c=7.5907 alpha=109.99 beta=107.54 gamma=90.00
Fractional positions:
Nb: 0.3914 0.5848 0.7828
Nb: 0.6580 0.9074 0.3160
Nb: 0.8318 0.8045 0.6637
Nb: 0.9825 0.2631 0.9650
Nb: 0.1682 0.1955 0.3363
Nb: 0.3420 0.0926 0.6840
Nb: 0.6086 0.4152 0.2172
Nb: 0.0175 0.7369 0.0350
Ga: 0.8031 0.3335 0.6061
Ga: 0.1969 0.6665 0.3939
Tc: 0.5000 0.0000 0.0000

=====

No. 4
Here is a relaxed NbGaTc2 crystal from Alexandria. Energies are from GGA-PBE.

## Properties
Energy = -8.4584 eV/atom
Space-group type = No. 160
Magnetic moment = 0.000 μB per atom
Theoretical density = 9.27 g/cm3

Unit cell a=3.0223 b=3.0223 c=8.3081 alpha=79.52 beta=79.52 gamma=60.00
Fractional positions:
Nb: 0.6667 0.6667 0.0000
Ga: 0.4997 0.4997 0.5008
Tc: 0.0839 0.0839 0.7483
Tc: 0.2497 0.2497 0.2509

=====

No. 5
Here is a relaxed Nb3GaTc4 crystal from Alexandria. Energies are from GGA-PBE.

## Properties
Energy = -9.6221 eV/atom
Space-group type = No. 47
Magnetic moment = 0.000 μB per atom
Theoretical density = 9.68 g/cm3

Unit cell a=3.2050 b=4.4394 c=8.9268 alpha=90.00 beta=90.00 gamma=90.00
Fractional positions:
Nb: 0.5000 0.0000 0.2409
Nb: 0.5000 0.5000 0.5000
Nb: 0.5000 0.0000 0.7591
Tc: 0.0000 0.0000 0.5000
Tc: 0.0000 0.5000 0.7493
Tc: 0.0000 0.0000 0.0000
Tc: 0.0000 0.5000 0.2507
Ga: 0.5000 0.5000 0.0000

=====

No. 6
Here is a relaxed Nb3Ga4Tc crystal from Alexandria. Energies are from GGA-PBE.

## Properties
Energy = -6.7675 eV/atom
Space-group type = No. 59
Magnetic moment = 0.000 μB per atom
Theoretical density = 8.15 g/cm3

Unit cell a=4.8641 b=5.6950 c=9.6467 alpha=90.00 beta=90.00 gamma=90.00
Fractional positions:
Nb: 0.5644 0.6111 0.0000
Nb: 0.0645 0.6156 0.2440
Nb: 0.5645 0.3844 0.2560
Nb: 0.0644 0.3889 0.5000
Nb: 0.5645 0.3844 0.7440
Nb: 0.0645 0.6156 0.7560
Ga: 0.0643 0.8928 0.0000
Ga: 0.5643 0.1219 0.0000
Ga: 0.0644 0.1182 0.2480
Ga: 0.5644 0.8818 0.2520
Ga: 0.0643 0.8781 0.5000
Ga: 0.5643 0.1072 0.5000
Ga: 0.5644 0.8818 0.7480
Ga: 0.0644 0.1182 0.7520
Tc: 0.0644 0.3875 0.0000
Tc: 0.5644 0.6125 0.5000